[1]
# Ta2GaSe2 PBE relaxed
data_Ta2GaSe2
_cell_length_a 5.095
_cell_length_b 5.095
_cell_length_c 8.113
_cell_angle_alpha 90.00
_cell_angle_beta 90.00
_cell_angle_gamma 90.00
_space_group_name_H-M_alt 'I 4/m m m'
_space_group_IT_number 139
_space_group_name_Hall '-I 4 2'
loop_
_atom_site_label
_atom_site_type_symbol
_atom_site_fract_x
_atom_site_fract_y
_atom_site_fract_z
_atom_site_occupancy
Ta1 Ta 0.000 0.000 0.153 1
Ga1 Ga 0.000 0.000 0.500 1
Se1 Se 0.000 0.500 0.250 1
# * E_form (uncorrected): 0.061 eV per atom
# * polymorph energy (0 for the lowest one): 0.263 eV per atom
# * energy: -6.679 eV/atom
# * crystal system: tetragonal

=====

[2]
# Ta4GaTe6Se2 PBE relaxed
data_Ta4GaTe6Se2
_cell_length_a 7.800
_cell_length_b 7.972
_cell_length_c 11.052
_cell_angle_alpha 90.00
_cell_angle_beta 90.00
_cell_angle_gamma 90.00
_space_group_name_H-M_alt 'I m m 2'
_space_group_IT_number 44
loop_
_space_group_symop_operation_xyz
'x,y,z'
'-x,-y,z'
'-x,y,z'
'x,-y,z'
'x+1/2,y+1/2,z+1/2'
'-x+1/2,-y+1/2,z+1/2'
'-x+1/2,y+1/2,z+1/2'
'x+1/2,-y+1/2,z+1/2'
loop_
_atom_site_label
_atom_site_type_symbol
_atom_site_fract_x
_atom_site_fract_y
_atom_site_fract_z
_atom_site_occupancy
Ta1 Ta 0.000 0.209 0.000 1
Ta2 Ta 0.187 0.000 0.192 1
Ga1 Ga 0.000 0.000 0.605 1
Te1 Te 0.000 0.281 0.732 1
Te2 Te 0.231 0.500 0.449 1
Te3 Te 0.231 0.500 0.959 1
Se1 Se 0.000 0.262 0.226 1
# * E_form (uncorrected): -0.470 eV per atom
# * energy: -6.336 eV/atom
# * crystal system: orthorhombic

=====

[3]
# Ta4GaTe4Se4 PBE relaxed
data_Ta4GaTe4Se4
_cell_length_a 11.017
_cell_length_b 11.017
_cell_length_c 11.017
_cell_angle_alpha 90.00
_cell_angle_beta 90.00
_cell_angle_gamma 90.00
_space_group_name_H-M_alt 'F -4 3 m'
_space_group_IT_number 216
_space_group_name_Hall 'F -4 2 3'
loop_
_atom_site_label
_atom_site_type_symbol
_atom_site_fract_x
_atom_site_fract_y
_atom_site_fract_z
_atom_site_occupancy
Ta1 Ta 0.098 0.098 0.402 1
Ga1 Ga 0.000 0.000 0.000 1
Te1 Te 0.137 0.137 0.137 1
Se1 Se 0.130 0.130 0.630 1
# * E_form (uncorrected): -0.588 eV per atom
# * energy: -6.506 eV/atom
# * crystal system: cubic

=====

[4]
# Ta2VGaSe PBE relaxed
data_Ta2VGaSe
_cell_length_a 4.794
_cell_length_b 4.794
_cell_length_c 4.698
_cell_angle_alpha 90.00
_cell_angle_beta 90.00
_cell_angle_gamma 90.00
_space_group_name_H-M_alt 'P 4/m m m'
_space_group_IT_number 123
_space_group_name_Hall '-P 4 2'
loop_
_atom_site_label
_atom_site_type_symbol
_atom_site_fract_x
_atom_site_fract_y
_atom_site_fract_z
_atom_site_occupancy
Ta1 Ta 0.000 0.500 0.000 1
V1 V 0.000 0.000 0.500 1
Ga1 Ga 0.500 0.500 0.000 1
Se1 Se 0.500 0.500 0.500 1
# * E_form (uncorrected): 1.611 eV per atom
# * energy: -6.256 eV/atom
# * crystal system: tetragonal

=====

[5]
# Tb5GaSe4 PBE relaxed
data_Tb5GaSe4
_cell_length_a 9.238
_cell_length_b 9.238
_cell_length_c 5.813
_cell_angle_alpha 90.00
_cell_angle_beta 90.00
_cell_angle_gamma 90.00
_space_group_name_H-M_alt 'I 4/m'
_space_group_IT_number 87
_space_group_name_Hall '-I 4'
loop_
_atom_site_label
_atom_site_type_symbol
_atom_site_fract_x
_atom_site_fract_y
_atom_site_fract_z
_atom_site_occupancy
Tb1 Tb 0.000 0.000 0.000 1
Tb2 Tb 0.097 0.294 0.500 1
Ga1 Ga 0.000 0.000 0.500 1
Se1 Se 0.098 0.302 0.000 1
# * E_form (uncorrected): -1.595 eV per atom
# * energy: -5.607 eV/atom
# * crystal system: tetragonal

=====

[6]
# Tb2Ga2Se PBE relaxed
data_Tb2Ga2Se
_cell_length_a 4.1535
_cell_length_b 4.1535
_cell_length_c 22.6858
_cell_angle_alpha 90.00
_cell_angle_beta 90.00
_cell_angle_gamma 120.00
_space_group_name_H-M_alt 'R -3 m'
_space_group_IT_number 166
_space_group_name_Hall '-R 3 2"'
loop_
_atom_site_label
_atom_site_type_symbol
_atom_site_fract_x
_atom_site_fract_y
_atom_site_fract_z
_atom_site_occupancy
Tb1 Tb 0.0000 0.0000 0.0913 1
Ga1 Ga 0.0000 0.0000 0.3204 1
Se1 Se 0.0000 0.0000 0.5000 1
# * E_form (uncorrected): -1.158 eV per atom
# * energy: -4.918 eV/atom
# * crystal system: trigonal

=====

[7]
# Tb3Ga5Se12 PBE relaxed
data_Tb3Ga5Se12
_cell_length_a 15.907
_cell_length_b 15.907
_cell_length_c 15.907
_cell_angle_alpha 90.00
_cell_angle_beta 90.00
_cell_angle_gamma 90.00
_space_group_name_H-M_alt 'I a -3 d'
_space_group_IT_number 230
_space_group_name_Hall '-I 4bd 2c 3'
loop_
_atom_site_label
_atom_site_type_symbol
_atom_site_fract_x
_atom_site_fract_y
_atom_site_fract_z
_atom_site_occupancy
Tb1 Tb 0.000 0.250 0.125 1
Ga1 Ga 0.000 0.000 0.000 1
Ga2 Ga 0.000 0.250 0.375 1
Se1 Se 0.025 0.060 0.651 1
# * E_form (uncorrected): -1.004 eV per atom
# * energy: -4.546 eV/atom
# * crystal system: cubic

=====

[8]
# Tb7GaSe5 PBE relaxed
data_Tb7GaSe5
_cell_length_a 4.035
_cell_length_b 7.024
_cell_length_c 24.297
_cell_angle_alpha 90.01
_cell_angle_beta 90.00
_cell_angle_gamma 106.66
_space_group_name_H-M_alt 'P -1'
_space_group_IT_number 2
loop_
_space_group_symop_operation_xyz
'x,y,z'
'-x,-y,-z'
loop_
_atom_site_label
_atom_site_type_symbol
_atom_site_fract_x
_atom_site_fract_y
_atom_site_fract_z
_atom_site_occupancy
Tb1 Tb 0.028 0.057 0.250 1
Tb2 Tb 0.139 0.277 0.537 1
Tb3 Tb 0.139 0.278 0.963 1
Tb4 Tb 0.308 0.616 0.180 1
Tb5 Tb 0.308 0.617 0.320 1
Tb6 Tb 0.408 0.815 0.616 1
Tb7 Tb 0.408 0.816 0.883 1
Ga1 Ga 0.309 0.620 0.750 1
Se1 Se 0.053 0.105 0.857 1
Se2 Se 0.053 0.106 0.643 1
Se3 Se 0.223 0.446 0.428 1
Se4 Se 0.224 0.448 0.072 1
Se5 Se 0.500 0.000 0.000 1
Se6 Se 0.500 0.000 0.500 1
# * E_form (uncorrected): -1.471 eV per atom
# * energy: -5.538 eV/atom
# * crystal system: triclinic

=====

[9]
# TbGaSe2 PBE relaxed
data_TbGaSe2
_cell_length_a 4.1533
_cell_length_b 4.1533
_cell_length_c 7.4024
_cell_angle_alpha 90.00
_cell_angle_beta 90.00
_cell_angle_gamma 120.00
_space_group_name_H-M_alt 'P -3 m 1'
_space_group_IT_number 164
_space_group_name_Hall '-P 3 2"'
loop_
_atom_site_label
_atom_site_type_symbol
_atom_site_fract_x
_atom_site_fract_y
_atom_site_fract_z
_atom_site_occupancy
Tb1 Tb 0.0000 0.0000 0.0000 1
Ga1 Ga 0.0000 0.0000 0.5000 1
Se1 Se 0.3333 0.6667 0.2205 1
# * E_form (uncorrected): -1.222 eV per atom
# * energy: -4.879 eV/atom
# * crystal system: trigonal

=====

[10]
# Tb3GaSe6 PBE relaxed
data_Tb3GaSe6
_cell_length_a 11.246
_cell_length_b 13.985
_cell_length_c 6.794
_cell_angle_alpha 90.00
_cell_angle_beta 90.00
_cell_angle_gamma 90.00
_space_group_name_H-M_alt 'C m c 21'
_space_group_IT_number 36
loop_
_space_group_symop_operation_xyz
'x,y,z'
'-x,-y,z+1/2'
'-x,y,z'
'x,-y,z+1/2'
'x+1/2,y+1/2,z'
'-x+1/2,-y+1/2,z+1/2'
'-x+1/2,y+1/2,z'
'x+1/2,-y+1/2,z+1/2'
loop_
_atom_site_label
_atom_site_type_symbol
_atom_site_fract_x
_atom_site_fract_y
_atom_site_fract_z
_atom_site_occupancy
Tb1 Tb 0.000 0.096 0.000 1
Tb2 Tb 0.184 0.402 0.900 1
Ga1 Ga 0.000 0.298 0.365 1
Se1 Se 0.000 0.281 0.721 1
Se2 Se 0.000 0.461 0.217 1
Se3 Se 0.163 0.033 0.701 1
Se4 Se 0.168 0.233 0.182 1
# * E_form (uncorrected): -1.554 eV per atom
# * energy: -5.337 eV/atom
# * crystal system: orthorhombic

=====

[11]
# Tb3GaSe2 PBE relaxed
data_Tb3GaSe2
_cell_length_a 4.023
_cell_length_b 5.842
_cell_length_c 12.733
_cell_angle_alpha 90.00
_cell_angle_beta 90.00
_cell_angle_gamma 90.00
_space_group_name_H-M_alt 'I m m m'
_space_group_IT_number 71
_space_group_name_Hall '-I 2 2'
loop_
_atom_site_label
_atom_site_type_symbol
_atom_site_fract_x
_atom_site_fract_y
_atom_site_fract_z
_atom_site_occupancy
Tb1 Tb 0.000 0.000 0.000 1
Tb2 Tb 0.000 0.000 0.334 1
Ga1 Ga 0.000 0.500 0.000 1
Se1 Se 0.000 0.500 0.332 1
# * E_form (uncorrected): -1.435 eV per atom
# * polymorph energy (0 for the lowest one): 0.000 eV per atom
# * energy: -5.416 eV/atom
# * crystal system: orthorhombic

=====

[12]
# Tb2GaSe4 PBE relaxed
data_Tb2GaSe4
_cell_length_a 14.694
_cell_length_b 4.079
_cell_length_c 7.256
_cell_angle_alpha 90.00
_cell_angle_beta 118.07
_cell_angle_gamma 90.00
_space_group_name_H-M_alt 'C 1 2/m 1'
_space_group_IT_number 12
loop_
_space_group_symop_operation_xyz
'x,y,z'
'-x,-y,-z'
'-x,y,-z'
'x,-y,z'
'x+1/2,y+1/2,z'
'-x+1/2,-y+1/2,-z'
'-x+1/2,y+1/2,-z'
'x+1/2,-y+1/2,z'
loop_
_atom_site_label
_atom_site_type_symbol
_atom_site_fract_x
_atom_site_fract_y
_atom_site_fract_z
_atom_site_occupancy
Tb1 Tb 0.230 0.000 0.219 1
Ga1 Ga 0.000 0.500 0.500 1
Se1 Se 0.118 0.500 0.933 1
Se2 Se 0.134 0.000 0.486 1
# * E_form (uncorrected): -1.362 eV per atom
# * energy: -5.109 eV/atom
# * crystal system: monoclinic